[1]
A relaxed Mg2ZnBO crystal, computed with GGA-PBE.

## Properties
Formation energy from raw total energies in eV/atom: -0.0167
Electronic total energy in eV per atom: -3.24
Total magnetic moment in μB per atom: 0.20

Lattice parameters (Å, degrees): 4.466 4.466 3.881 90.00 90.00 90.00
Space group P4/mmm (No. 123)
Inequivalent atoms, fractional coordinates:
Mg (0.000, 0.500, 0.000) (multiplicity 2)
Zn (0.000, 0.000, 0.500) (multiplicity 1)
B (0.000, 0.000, 0.000) (multiplicity 1)
O (0.500, 0.500, 0.500) (multiplicity 1)

---

[2]
A relaxed MgBOs crystal, computed with GGA-PBE.

## Properties
Electronic total energy in eV per atom: -6.58
Energy of formation from the pure elements in kJ per mole of atoms: -8.1
Total magnetic moment in μB per atom: 0.00

Lattice parameters (Å, degrees): 5.788 3.025 9.128 90.00 90.00 90.00
Space group Pnma (No. 62)
Inequivalent atoms, fractional coordinates:
Mg (0.250, 0.250, 0.032) (multiplicity 4)
B (0.249, 0.250, 0.304) (multiplicity 4)
Os (0.001, 0.250, 0.750) (multiplicity 4)

---

[3]
A relaxed Mg2BOs crystal, computed with GGA-PBE.

## Properties
Electronic total energy in eV per atom: -4.80
Energy of formation from the pure elements in kJ per mole of atoms: 45.6
Total magnetic moment in μB per atom: 0.00

Lattice parameters (Å, degrees): 8.531 8.531 4.009 90.00 90.00 90.00
Space group I-42d (No. 122)
Inequivalent atoms, fractional coordinates:
Mg (0.096, 0.750, 0.125) (multiplicity 8)
B (0.000, 0.000, 0.000) (multiplicity 4)
Os (0.000, 0.000, 0.500) (multiplicity 4)

---

[4]
A relaxed MgB2Os2 crystal, computed with GGA-PBE.

## Properties
Electronic total energy in eV per atom: -7.50
Energy of formation from the pure elements in kJ per mole of atoms: -1.9
Total magnetic moment in μB per atom: 0.00

Lattice parameters (Å, degrees): 6.215 6.215 2.854 90.00 90.00 90.00
Space group P4/mbm (No. 127)
Inequivalent atoms, fractional coordinates:
Mg (0.000, 0.000, 0.000) (multiplicity 2)
B (0.132, 0.368, 0.000) (multiplicity 4)
Os (0.155, 0.655, 0.500) (multiplicity 4)

---

[5]
A relaxed Mg2B10Os crystal, computed with GGA-PBE.

## Properties
Electronic total energy in eV per atom: -6.21
Energy of formation from the pure elements in kJ per mole of atoms: 3.5
Total magnetic moment in μB per atom: 0.00

Lattice parameters (Å, degrees): 5.696 11.384 4.180 90.00 90.00 90.00
Space group Pbam (No. 55)
Inequivalent atoms, fractional coordinates:
Mg (0.228, 0.122, 0.000) (multiplicity 4)
B (0.054, 0.807, 0.500) (multiplicity 4)
B (0.117, 0.456, 0.500) (multiplicity 4)
B (0.138, 0.302, 0.500) (multiplicity 4)
B (0.223, 0.879, 0.197) (multiplicity 8)
Os (0.000, 0.000, 0.500) (multiplicity 2)

---

[6]
A relaxed MgBOs crystal, computed with GGA-PBE.

## Properties
Electronic total energy in eV per atom: -6.51
Energy of formation from the pure elements in kJ per mole of atoms: -1.0
Total magnetic moment in μB per atom: 0.00

Lattice parameters (Å, degrees): 3.6384 3.6384 3.5294 90.00 90.00 120.00
Space group P-6m2 (No. 187)
Inequivalent atoms, fractional coordinates:
Mg (0.0000, 0.0000, 0.0000) (multiplicity 1)
B (0.6667, 0.3333, 0.5000) (multiplicity 1)
Os (0.3333, 0.6667, 0.5000) (multiplicity 1)